Compound: Tb2Pr6Ho3
Source: Alexandria via LeMat-Bulk
Functional: PBE-GGA
Structure: relaxed

Lattice parameters (Å, degrees): 17.505 17.505 17.505 164.33 164.33 22.23
Fractional coordinates of all 11 atoms:
Tb (0.045, 0.045, 0.000)
Tb (0.955, 0.955, 0.000)
Pr (0.120, 0.620, 0.500)
Pr (0.207, 0.207, 0.000)
Pr (0.380, 0.880, 0.500)
Pr (0.620, 0.120, 0.500)
Pr (0.793, 0.793, 0.000)
Pr (0.880, 0.380, 0.500)
Ho (0.307, 0.307, 0.000)
Ho (0.500, 0.500, 0.000)
Ho (0.693, 0.693, 0.000)

Results
Raw total energy: -4.400 eV per atom
Offset from the most stable computed form: 167.5 meV per atom
D(E_F): 1.481 states/eV per atom
Space-group type: I4/mmm